A plane-wave DFT calculation with PBE-GGA was carried out for an optimized crystal structure of Li2PuMnN4.

## Properties
- Raw formation energy: -48.9 kJ per mole of atoms
- Calculated density: 7.05 g/cm³
- Density of states at the Fermi level: 8.171 states/eV per cell

Cell lengths 4.8528, 4.8528, 4.8528 Å; angles 113.27, 113.27, 102.12 degrees
Positions (direct):
Li 0.2500 0.7500 0.5000
Li 0.7500 0.2500 0.5000
Pu 0.0000 0.0000 0.0000
Mn 0.5000 0.5000 0.0000
N 0.1507 0.1507 0.6228
N 0.4721 0.8493 0.0000
N 0.5279 0.5279 0.3772
N 0.8493 0.4721 0.0000